Entry from Alexandria via LeMat-Bulk: a geometry-optimized Be2OsAu structure (PBE-GGA).

Lattice parameters (Å, degrees): 8.3521 8.3521 8.3521 18.72 18.72 18.72
With the nearest neighbours (Å) after each atom.
Fractional positions:
Be (0.0000, 0.0000, 0.0000)  3 Os 2.38, 3 Be 2.42
Be (0.2585, 0.2585, 0.2585)  3 Be 2.42, 3 Au 2.54
Os (0.7394, 0.7394, 0.7394)  3 Be 2.38
Au (0.5107, 0.5107, 0.5107)  3 Be 2.54, 6 Au 2.72

Calculated values
Energy of formation from the pure elements ... 0.32 eV per atom
N(E_F) ... 0.504 states/eV/atom
Raw total energy ... -5.167 eV/atom
Volume ... 52 Å³/cell
Symmetry ... R3m (160)
Spin magnetization ... 0.00 μB per formula unit